Compound: TcPdPt3
Source: Alexandria via LeMat-Bulk
Functional: PBE
Structure: relaxed

Cell lengths 13.608, 4.590, 5.558 Å; angles 90.00, 113.93, 90.00 degrees
Space group C2/m (No. 12)
One atom of each set of equivalent atoms:
Tc: 0.001 0.000 0.291 (multiplicity 4)
Pd: 0.111 0.500 0.857 (multiplicity 4)
Pt: 0.111 0.500 0.364 (multiplicity 4)
Pt: 0.177 0.000 0.176 (multiplicity 4)
Pt: 0.191 0.000 0.690 (multiplicity 4)

For the formation energy, the calculation gives -0.05 eV per formula unit. Its magnetization is 0.0 μB/cell. As for the density of states at the Fermi level: 19.21 states/eV per cell. The calculation puts the energy relative to the lowest polymorph listed for this composition at 0.075 eV per atom.